Density functional theory data (PBE-GGA) for a relaxed structure of ErZnPd.

Values from the calculation:
- energy relative to the elements (eV/atom) = -0.763
- space-group type = P-62m
- energy (eV/cell) = -39.88
- crystal system = hexagonal

a b c (Å): 7.2053 7.2053 3.8835
angles (deg): 90.00 90.00 120.00
Fractional coordinates of all 9 atoms:
Er 0.5926 0.0000 0.5000
Pd 0.6667 0.3333 0.0000
Pd 0.3333 0.6667 0.0000
Zn 0.2504 0.0000 0.0000
Er 0.0000 0.5926 0.5000
Pd 0.0000 0.0000 0.5000
Zn 0.7496 0.7496 0.0000
Zn 0.0000 0.2504 0.0000
Er 0.4074 0.4074 0.5000

***

Density functional theory data (PBE-GGA) for a relaxed structure of BaSmCuTeS2.

Values from the calculation:
- space-group type = Cmcm
- energy (eV/cell) = -61.63
- crystal system = orthorhombic

a b c (Å): 7.6527 7.6527 11.1375
angles (deg): 90.00 90.00 148.59
Fractional coordinates of all 12 atoms:
Cu 0.9775 0.0225 0.2500
Sm 0.5000 0.5000 0.5000
S 0.8840 0.1160 0.0796
Sm 0.5000 0.5000 0.0000
Ba 0.2814 0.7186 0.2500
S 0.1160 0.8840 0.5796
Te 0.4080 0.5920 0.7500
Te 0.5920 0.4080 0.2500
Ba 0.7186 0.2814 0.7500
S 0.8840 0.1160 0.4204
Cu 0.0225 0.9775 0.7500
S 0.1160 0.8840 0.9204

***

Density functional theory data (PBE-GGA) for a relaxed structure of BiMo4C3.

Values from the calculation:
- space-group type = P6_3/mmc
- energy (eV/cell) = -147.10
- crystal system = hexagonal

a b c (Å): 3.1915 3.1915 24.3816
angles (deg): 90.00 90.00 120.00
Fractional coordinates of all 16 atoms:
Bi 0.6667 0.3333 0.7500
Mo 0.6667 0.3333 0.5533
Bi 0.3333 0.6667 0.2500
Mo 0.3333 0.6667 0.4467
C 0.6667 0.3333 0.3940
C 0.0000 0.0000 0.5000
Mo 0.0000 0.0000 0.1431
Mo 0.0000 0.0000 0.8569
Mo 0.0000 0.0000 0.3569
C 0.6667 0.3333 0.1060
Mo 0.6667 0.3333 0.9467
Mo 0.0000 0.0000 0.6431
C 0.3333 0.6667 0.8940
C 0.3333 0.6667 0.6060
Mo 0.3333 0.6667 0.0533
C 0.0000 0.0000 0.0000

***

Density functional theory data (PBE-GGA) for a relaxed structure of LiHfGaPd.

Values from the calculation:
- offset from the most stable computed form (meV per atom) = 106
- space-group type = F-43m
- energy (eV/cell) = -22.03
- crystal system = cubic

a b c (Å): 4.5312 4.5312 4.5312
angles (deg): 60.00 60.00 60.00
Fractional coordinates of all 4 atoms:
Li 0.7500 0.7500 0.7500
Hf 0.2500 0.2500 0.2500
Ga 0.0000 0.0000 0.0000
Pd 0.5000 0.5000 0.5000

***

Density functional theory data (PBE-GGA) for a relaxed structure of PmZr.

Values from the calculation:
- energy relative to the elements (eV/atom) = 0.190
- offset from the most stable computed form (meV per atom) = 109
- space-group type = P-6m2
- energy (eV/cell) = -12.91
- crystal system = hexagonal

a b c (Å): 3.3953 3.3953 5.5785
angles (deg): 90.00 90.00 120.00
Fractional coordinates of all 2 atoms:
Pm 0.0000 0.0000 0.0000
Zr 0.6667 0.3333 0.5000

***

Density functional theory data (PBE-GGA) for a relaxed structure of Y2ErO4.

Values from the calculation:
- space-group type = Fd-3m
- energy (eV/cell) = -119.70
- crystal system = cubic

a b c (Å): 6.7339 6.7339 6.7339
angles (deg): 119.99 90.01 119.99
Each line ends with the local moment (μB).
Fractional coordinates of all 14 atoms:
O 0.1306 0.2613 0.3919  0.01
O 0.6081 0.7387 0.8694  0.01
O 0.6194 0.7613 0.3807  0.01
Er 0.0000 0.0000 0.0000  0.05
O 0.6194 0.2387 0.8581  0.01
O 0.1307 0.2613 0.8694  0.01
Y 0.3750 0.2500 0.6250  0.08
O 0.6193 0.2387 0.3806  0.01
O 0.1419 0.7613 0.3806  0.01
Er 0.7500 0.5000 0.2500  0.05
Y 0.3750 0.7500 0.1250  0.12
Y 0.3750 0.7500 0.6250  0.12
Y 0.8750 0.2500 0.6250  0.09
O 0.1306 0.7387 0.8693  0.01

***

Density functional theory data (PBE-GGA) for a relaxed structure of LiAl2Ni.

Values from the calculation:
- space-group type = Pnma
- energy (eV/cell) = -65.97
- crystal system = orthorhombic

a b c (Å): 5.0181 6.8868 6.8944
angles (deg): 90.00 90.00 90.00
Fractional coordinates of all 16 atoms:
Al 0.6046 0.4474 0.6705
Ni 0.6221 0.2500 0.3738
Li 0.1095 0.2500 0.5314
Li 0.6095 0.7500 0.9686
Ni 0.3779 0.7500 0.6262
Al 0.1046 0.5526 0.8295
Al 0.3954 0.5526 0.3295
Li 0.8905 0.7500 0.4686
Al 0.1046 0.9474 0.8295
Al 0.3954 0.9474 0.3295
Al 0.8954 0.4474 0.1705
Al 0.6046 0.0526 0.6705
Ni 0.1221 0.7500 0.1262
Ni 0.8779 0.2500 0.8738
Al 0.8954 0.0526 0.1705
Li 0.3905 0.2500 0.0314

***

Density functional theory data (PBE-GGA) for a relaxed structure of GaPt9.

Values from the calculation:
- offset from the most stable computed form (meV per atom) = 37
- space-group type = P4/nmm
- energy (eV/cell) = -115.46
- crystal system = tetragonal

a b c (Å): 2.7995 2.7995 53.0392
angles (deg): 90.00 90.00 90.00
Each line ends with the local moment (μB).
Fractional coordinates of all 20 atoms:
Pt 0.0000 0.5000 0.2934  0.08
Pt 0.0000 0.5000 0.3687  0.00
Pt 0.5000 0.0000 0.7819  0.04
Pt 0.0000 0.5000 0.5187  -0.05
Ga 0.5000 0.0000 0.8571  0.00
Pt 0.5000 0.0000 0.7066  0.08
Pt 0.0000 0.5000 0.6690  0.05
Pt 0.0000 0.5000 0.7441  0.08
Pt 0.5000 0.0000 0.4813  -0.05
Ga 0.0000 0.5000 0.1429  0.00
Pt 0.0000 0.5000 0.8214  0.01
Pt 0.5000 0.0000 0.4064  -0.03
Pt 0.0000 0.5000 0.2181  0.04
Pt 0.0000 0.5000 0.5936  -0.03
Pt 0.5000 0.0000 0.6313  0.00
Pt 0.5000 0.0000 0.3310  0.05
Pt 0.5000 0.0000 0.2559  0.08
Pt 0.0000 0.5000 0.4439  -0.05
Pt 0.5000 0.0000 0.1786  0.01
Pt 0.5000 0.0000 0.5561  -0.05

***

Density functional theory data (PBE-GGA) for a relaxed structure of TaAlB4.

Values from the calculation:
- space-group type = Pbam
- energy (eV/cell) = -170.38
- crystal system = orthorhombic

a b c (Å): 6.3981 10.7780 3.4411
angles (deg): 90.00 90.00 90.00
Fractional coordinates of all 24 atoms:
B 0.4661 0.2130 0.5000
B 0.6321 0.4864 0.5000
B 0.9661 0.2870 0.5000
Ta 0.1523 0.5845 0.0000
Ta 0.8477 0.4155 0.0000
B 0.6689 0.3182 0.5000
Ta 0.6523 0.9155 0.0000
B 0.8947 0.5668 0.5000
Ta 0.3477 0.0845 0.0000
B 0.3679 0.5136 0.5000
B 0.1689 0.1818 0.5000
B 0.1321 0.0136 0.5000
Al 0.5769 0.6438 0.0000
B 0.8311 0.8182 0.5000
B 0.3311 0.6818 0.5000
B 0.1053 0.4332 0.5000
B 0.3947 0.9332 0.5000
B 0.0339 0.7130 0.5000
B 0.8679 0.9864 0.5000
Al 0.4231 0.3562 0.0000
Al 0.0769 0.8562 0.0000
B 0.5339 0.7870 0.5000
Al 0.9231 0.1438 0.0000
B 0.6053 0.0668 0.5000

***

Density functional theory data (PBE-GGA) for a relaxed structure of PrZn4Ir2.

Values from the calculation:
- energy relative to the elements (eV/atom) = -0.388
- space-group type = P4_2/mnm
- energy (eV/cell) = -60.53
- crystal system = tetragonal

a b c (Å): 7.7397 7.7397 4.0950
angles (deg): 90.00 90.00 90.00
Fractional coordinates of all 14 atoms:
Pr 0.0000 0.0000 0.0000
Zn 0.6520 0.0917 0.5000
Zn 0.8480 0.5917 0.0000
Zn 0.3480 0.9083 0.5000
Zn 0.4083 0.1520 0.0000
Pr 0.5000 0.5000 0.5000
Zn 0.1520 0.4083 0.0000
Ir 0.2871 0.7129 0.0000
Ir 0.7129 0.2871 0.0000
Zn 0.0917 0.6520 0.5000
Ir 0.7871 0.7871 0.5000
Zn 0.5917 0.8480 0.0000
Ir 0.2129 0.2129 0.5000
Zn 0.9083 0.3480 0.5000

***

Density functional theory data (PBE-GGA) for a relaxed structure of CoIrPbAu.

Values from the calculation:
- offset from the most stable computed form (meV per atom) = 0
- space-group type = F-43m
- energy (eV/cell) = -21.12
- crystal system = cubic

a b c (Å): 4.5697 4.5697 4.5697
angles (deg): 60.00 60.00 60.00
Each line ends with the local moment (μB).
Fractional coordinates of all 4 atoms:
Au 0.5000 0.5000 0.5000  -0.02
Ir 0.2500 0.2500 0.2500  0.04
Co 0.7500 0.7500 0.7500  1.30
Pb 0.0000 0.0000 0.0000  -0.03

***

Density functional theory data (PBE-GGA) for a relaxed structure of KRb2Au2.

Values from the calculation:
- offset from the most stable computed form (meV per atom) = 17
- space-group type = P4/mbm
- energy (eV/cell) = -21.58
- crystal system = tetragonal

a b c (Å): 9.4993 9.4993 4.6133
angles (deg): 90.00 90.00 90.00
Fractional coordinates of all 10 atoms:
Rb 0.8571 0.6429 0.5000
K 0.5000 0.5000 0.0000
Rb 0.6429 0.1429 0.5000
K 0.0000 0.0000 0.0000
Au 0.6554 0.8446 0.0000
Au 0.3446 0.1554 0.0000
Rb 0.3571 0.8571 0.5000
Rb 0.1429 0.3571 0.5000
Au 0.8446 0.3446 0.0000
Au 0.1554 0.6554 0.0000